! SrPa2 (GGA-PBE, optimized geometry); values from VASP
&SYSTEM
  ibrav = 0, nat = 6, ntyp = 2
/
ATOMIC_SPECIES
Sr 87.62 Sr.upf
Pa 231.04 Pa.upf
ATOMIC_POSITIONS crystal
Sr 0.000 0.000 0.000
Sr 0.250 0.250 0.250
Pa 0.625 0.625 0.125
Pa 0.125 0.625 0.625
Pa 0.625 0.125 0.625
Pa 0.625 0.625 0.625
CELL_PARAMETERS angstrom
-3.870 -2.679 -4.291
2.371 -3.941 -4.406
-1.256 -6.237 0.300
! Formation energy: 0.574 eV/atom
! Density of states at the Fermi level: 8.165 states/eV/f.u.

=====

! Sn2BiTe (GGA-PBE, optimized geometry); values from VASP
&SYSTEM
  ibrav = 0, nat = 4, ntyp = 3
/
ATOMIC_SPECIES
Sn 118.71 Sn.upf
Te 127.60 Te.upf
Bi 208.98 Bi.upf
ATOMIC_POSITIONS crystal
Sn 0.000 0.000 0.500
Sn 0.000 0.500 0.000
Te 0.500 0.500 0.500
Bi 0.500 0.000 0.000
CELL_PARAMETERS angstrom
-1.618 -2.766 2.077
3.541 1.036 4.139
-3.562 3.679 2.126
! Formation energy (no corrections): 0.0460 eV/atom
! Density of states at the Fermi level: 2.679 states/eV/f.u.

=====

! Tl2InFeRe (GGA-PBE, optimized geometry); values from VASP
&SYSTEM
  ibrav = 0, nat = 5, ntyp = 4
/
ATOMIC_SPECIES
In 114.82 In.upf
Fe 55.84 Fe.upf
Tl 204.38 Tl.upf
Re 186.21 Re.upf
ATOMIC_POSITIONS crystal
In 0.000 0.000 0.000
Fe 0.500 0.500 0.500
Tl 0.000 0.000 0.500
Tl 0.500 0.000 0.000
Re 0.000 0.500 0.000
CELL_PARAMETERS angstrom
-2.101 -1.583 4.896
3.571 -3.838 0.292
3.491 3.447 2.613
! Formation energy: 1.957 eV/atom
! Density of states at the Fermi level: 6.287 states/eV/f.u.

=====

- Which of these has the lowest density of states at the Fermi level?
  Sn2BiTe

=====

- The highest density of states at the Fermi level belongs to which entry?
  SrPa2